# KHg2Pt

KHg2Pt after structural relaxation (PBEsol, Alexandria).

Summary:
As for the formation enthalpy at 0 K: 0.167 eV per atom. The polymorph energy (0 for the lowest one) is 147 meV per atom. Its space-group type is C2/m (12). Its crystal system is monoclinic.

abc: 2.9861 5.8479 5.8479
angles: 113.16 102.58 102.58
With the nearest neighbours (Å) after each atom.
Fractional positions:
Hg: 0.0000 0.5000 0.0000  2 Pt 2.98, 2 K 2.98, 4 Hg 2.99-3.22
Hg: 0.0000 0.0000 0.5000  2 K 2.98, 2 Pt 2.98, 4 Hg 2.99-3.22
Pt: 0.5000 0.5000 0.5000  4 Hg 2.98, 2 Pt 2.99, 2 K 3.22
K: 0.5000 0.0000 0.0000  4 Hg 2.98, 2 K 2.99, 2 Pt 3.22

# LaNb2Ru2

LaNb2Ru2 after structural relaxation (PBEsol, Alexandria).

Summary:
As for the formation enthalpy at 0 K: -0.130 eV per atom. Its space-group type is I4/mmm (139). Its crystal system is tetragonal.

abc: 4.3992 4.3992 6.1098
angles: 111.10 111.10 90.00
With the nearest neighbours (Å) after each atom.
Fractional positions:
Nb: 0.2500 0.7500 0.5000  4 Ru 2.57
Ru: 0.3759 0.3759 0.7519  4 Nb 2.57, 1 Ru 2.61
La: 0.0000 0.0000 0.0000  8 Ru 3.37, 8 Nb 3.43
Ru: 0.6241 0.6241 0.2481  4 Nb 2.57, 1 Ru 2.61
Nb: 0.7500 0.2500 0.5000  4 Ru 2.57

# LiIn3

LiIn3 after structural relaxation (PBEsol, Alexandria).

Summary:
As for the formation enthalpy at 0 K: -0.138 eV per atom. Its space-group type is Cmmm (65). Its crystal system is orthorhombic.

abc: 3.2739 5.4896 5.4896
angles: 112.38 90.00 90.00
With the nearest neighbours (Å) after each atom.
Fractional positions:
In: 0.5000 0.0000 0.5000  8 In 3.05-3.27, 4 Li 3.20
Li: 0.0000 0.0000 0.0000  10 In 3.05-3.20, 2 Li 3.27
In: 0.0000 0.5000 0.5000  2 Li 3.05, 10 In 3.20-3.27
In: 0.5000 0.5000 0.0000  8 In 3.05-3.27, 4 Li 3.20